Density functional theory data (PBE-GGA) for an optimized crystal structure of Hf3ZrAu.

Unit cell a=5.0576 b=5.0576 c=5.0576 alpha=90.00 beta=90.00 gamma=90.00
Fractional positions:
Au  0.5000  0.5000  0.5000
Hf  0.0000  0.0000  0.5000
Hf  0.0000  0.5000  0.0000
Zr  0.0000  0.0000  0.0000
Hf  0.5000  0.0000  0.0000

The value obtained for the total DFT energy (no corrections) is -7.102 eV per atom. The distance to the lowest polymorph of the same formula comes out at 0.510 eV/atom. The space group is No. 221. Its total magnetization is 0.00 μB per formula unit. Its formation enthalpy at 0 K is 1.2356 eV/atom. As for the crystal system: cubic.